[1]
# KNiIr2

An optimized crystal structure of KNiIr2 (PBE-GGA, Alexandria).

Calculated values
- SG: I4/mmm
- Formation energy: 27.42 kcal/mol of atoms
- DFT total energy: -4.9610 eV/atom
- Magnetization: 4.3 Bohr magnetons per cell
- Polymorph energy (0 for the lowest one): 549 meV/atom

Lattice parameters (Å, degrees): 3.871 3.871 9.058 90.00 90.00 90.00
Atoms (fractional coordinates):
K 0.000 0.000 0.000
K 0.500 0.500 0.500
Ni 0.000 0.000 0.500
Ni 0.500 0.500 0.000
Ir 0.000 0.500 0.250
Ir 0.000 0.500 0.750
Ir 0.500 0.000 0.250
Ir 0.500 0.000 0.750

---

[2]
# KNiIr2

An optimized crystal structure of KNiIr2 (PBE-GGA, Alexandria).

Calculated values
- SG: Fm-3m
- Formation energy: 32.04 kcal/mol of atoms
- DFT total energy: -4.7606 eV/atom
- Magnetization: 9.8 Bohr magnetons per cell
- Polymorph energy (0 for the lowest one): 750 meV/atom

Lattice parameters (Å, degrees): 6.404 6.404 6.404 90.00 90.00 90.00
Atoms (fractional coordinates):
K 0.000 0.000 0.000
K 0.000 0.500 0.500
K 0.500 0.000 0.500
K 0.500 0.500 0.000
Ni 0.000 0.000 0.500
Ni 0.000 0.500 0.000
Ni 0.500 0.000 0.000
Ni 0.500 0.500 0.500
Ir 0.250 0.250 0.250
Ir 0.250 0.250 0.750
Ir 0.250 0.750 0.250
Ir 0.250 0.750 0.750
Ir 0.750 0.250 0.250
Ir 0.750 0.250 0.750
Ir 0.750 0.750 0.250
Ir 0.750 0.750 0.750